[1]
# V5Ir4Os, optimized geometry, DFT GGA-PBE
# crystal system: tetragonal
# ΔH_f (0 K): -0.421 eV per atom
# calculated total energy: -0.70907 Ry per atom
data_V5Ir4Os
_chemical_formula_sum 'V5 Ir4 Os1'
_cell_length_a 2.7597
_cell_length_b 2.7597
_cell_length_c 18.3085
_cell_angle_alpha 90.00
_cell_angle_beta 90.00
_cell_angle_gamma 90.00
_symmetry_space_group_name_H-M 'P 4/m m m'
_symmetry_Int_Tables_number 123
_symmetry_space_group_name_Hall '-P 4 2'
loop_
_atom_site_label
_atom_site_type_symbol
_atom_site_fract_x
_atom_site_fract_y
_atom_site_fract_z
V1 V 0.0000 0.0000 0.0000
V2 V 0.0000 0.0000 0.2006
V3 V 0.0000 0.0000 0.4012
Ir1 Ir 0.5000 0.5000 0.1001
Ir2 Ir 0.5000 0.5000 0.3017
Os1 Os 0.5000 0.5000 0.5000

=====

[2]
# V2Ir3Os2, optimized geometry, DFT GGA-PBE
# crystal system: monoclinic
# ΔH_f (0 K): -0.150 eV per atom
# calculated total energy: -0.71743 Ry per atom
data_V2Ir3Os2
_chemical_formula_sum 'V4 Ir6 Os4'
_cell_length_a 8.8740
_cell_length_b 2.7370
_cell_length_c 8.9822
_cell_angle_alpha 90.00
_cell_angle_beta 111.84
_cell_angle_gamma 90.00
_symmetry_space_group_name_H-M 'C 1 2/m 1'
_symmetry_Int_Tables_number 12
loop_
_symmetry_equiv_pos_as_xyz
'x,y,z'
'-x,-y,-z'
'-x,y,-z'
'x,-y,z'
'x+1/2,y+1/2,z'
'-x+1/2,-y+1/2,-z'
'-x+1/2,y+1/2,-z'
'x+1/2,-y+1/2,z'
loop_
_atom_site_label
_atom_site_type_symbol
_atom_site_fract_x
_atom_site_fract_y
_atom_site_fract_z
V1 V 0.0535 0.0000 0.2788
Ir1 Ir 0.0000 0.5000 0.0000
Ir2 Ir 0.1729 0.0000 0.5866
Os1 Os 0.2182 0.5000 0.8618

=====

[3]
# V2Ir4Os, optimized geometry, DFT GGA-PBE
# crystal system: orthorhombic
# ΔH_f (0 K): -0.120 eV per atom
# calculated total energy: -0.69037 Ry per atom
data_V2Ir4Os
_chemical_formula_sum 'V4 Ir8 Os2'
_cell_length_a 6.1698
_cell_length_b 12.0085
_cell_length_c 2.7762
_cell_angle_alpha 90.00
_cell_angle_beta 90.00
_cell_angle_gamma 90.00
_symmetry_space_group_name_H-M 'P b a m'
_symmetry_Int_Tables_number 55
loop_
_symmetry_equiv_pos_as_xyz
'x,y,z'
'-x,-y,-z'
'-x,-y,z'
'x,y,-z'
'x+1/2,-y+1/2,-z'
'-x+1/2,y+1/2,z'
'-x+1/2,y+1/2,-z'
'x+1/2,-y+1/2,z'
loop_
_atom_site_label
_atom_site_type_symbol
_atom_site_fract_x
_atom_site_fract_y
_atom_site_fract_z
V1 V 0.2019 0.1079 0.0000
Ir1 Ir 0.0006 0.7270 0.5000
Ir2 Ir 0.1964 0.8923 0.0000
Os1 Os 0.0000 0.5000 0.5000

=====

[4]
# V3Ir6Os, optimized geometry, DFT GGA-PBE
# crystal system: monoclinic
# ΔH_f (0 K): -0.428 eV per atom
# calculated total energy: -0.70586 Ry per atom
data_V3Ir6Os
_chemical_formula_sum 'V6 Ir12 Os2'
_cell_length_a 7.2533
_cell_length_b 4.3494
_cell_length_c 9.4601
_cell_angle_alpha 90.00
_cell_angle_beta 109.14
_cell_angle_gamma 90.00
_symmetry_space_group_name_H-M 'P 1 21/m 1'
_symmetry_Int_Tables_number 11
loop_
_symmetry_equiv_pos_as_xyz
'x,y,z'
'-x,-y,-z'
'-x,y+1/2,-z'
'x,-y+1/2,z'
loop_
_atom_site_label
_atom_site_type_symbol
_atom_site_fract_x
_atom_site_fract_y
_atom_site_fract_z
V1 V 0.0908 0.2500 0.2328
V2 V 0.3021 0.2500 0.0327
V3 V 0.3041 0.7500 0.3666
Ir1 Ir 0.0949 0.2500 0.7321
Ir2 Ir 0.1083 0.7500 0.0713
Ir3 Ir 0.2957 0.2500 0.5302
Ir4 Ir 0.3010 0.7500 0.8677
Ir5 Ir 0.4932 0.2500 0.3301
Ir6 Ir 0.4989 0.7500 0.1668
Os1 Os 0.0964 0.7500 0.5666